Crystalline BeAl2Ru2 at its relaxed geometry, computed with PBE-GGA.

Computed properties:
Its magnetic moment is 0.00 μB/atom. The value obtained for the excess energy over the best structure of this formula in the dataset is 56.56 kJ per mole of atoms. Its symmetry is I4/mmm.

abc: 3.4541 3.4541 6.6701
angles: 74.99 74.99 90.00
Last column: nearest neighbours and their distance in Å.
Sites, in units of the cell vectors:
Ru 0.3985 0.3985 0.2029  1 Ru 2.52, 4 Al 2.53, 4 Be 2.75
Al 0.2500 0.7500 0.5000  4 Al 2.44, 4 Ru 2.53
Be 0.0000 0.0000 0.0000  8 Ru 2.75
Al 0.7500 0.2500 0.5000  4 Al 2.44, 4 Ru 2.53
Ru 0.6015 0.6015 0.7971  1 Ru 2.52, 4 Al 2.53, 4 Be 2.75